Ca2SiO4: relaxed, PBE.

Cell: 5.4989 5.4989 7.6548 Å, 90.00 90.00 120.00°
With the nearest neighbours (Å) after each atom.
Fractional positions:
Ca 0.0000 0.0000 0.0000  3 O 2.33
Ca 0.0000 0.0000 0.5000  3 O 2.33
Ca 0.3333 0.6667 0.2562  1 O 2.02
Ca 0.6667 0.3333 0.7562  1 O 2.02
Si 0.3333 0.6667 0.7808  4 O 1.62-1.64
Si 0.6667 0.3333 0.2808  4 O 1.62-1.64
O 0.1687 0.3374 0.7196  1 Si 1.64
O 0.1687 0.8313 0.7196  1 Si 1.64
O 0.3333 0.6667 0.9925  1 Si 1.62
O 0.3374 0.1687 0.2196  1 Si 1.64
O 0.6626 0.8313 0.7196  1 Si 1.64
O 0.6667 0.3333 0.4925  1 Si 1.62
O 0.8313 0.1687 0.2196  1 Si 1.64
O 0.8313 0.6626 0.2196  1 Si 1.64

Crystal system: hexagonal
Energy above the most stable polymorph in this dataset (eV per atom): 0.232
Spin magnetization (μB/cell): 0.00
Formation energy (no corrections) (eV per atom): -2.85

Ca3SiO5: relaxed, PBE.

Cell: 7.1583 7.1583 9.5904 Å, 111.86 111.86 60.03°
With the nearest neighbours (Å) after each atom.
Fractional positions:
Ca 0.0000 0.0000 0.0000  6 O 2.33-2.61
Ca 0.0009 0.5183 0.0031  5 O 2.33-2.39
Ca 0.2224 0.2224 0.6693  5 O 2.36-2.48
Ca 0.2223 0.7434 0.6668  5 O 2.36-2.52
Ca 0.2453 0.7933 0.3094  6 O 2.33-2.54
Ca 0.5183 0.0009 0.0031  5 O 2.33-2.39
Ca 0.7434 0.2223 0.6668  5 O 2.36-2.52
Ca 0.7933 0.2453 0.3094  6 O 2.33-2.54
Ca 0.7936 0.7936 0.3118  6 O 2.34-2.55
Si 0.2837 0.2837 0.3317  4 O 1.64
Si 0.5034 0.5034 0.9905  4 O 1.63-1.64
Si 0.7191 0.7191 0.6375  4 O 1.66-1.68
O 0.0069 0.0069 0.4966  6 Ca 2.47
O 0.1343 0.1343 0.8833  3 Ca 2.37
O 0.1375 0.1375 0.2656  1 Si 1.64
O 0.1394 0.5147 0.2714  1 Si 1.64
O 0.2715 0.6474 0.0494  1 Si 1.64
O 0.3439 0.3439 0.5206  1 Si 1.64
O 0.4434 0.4434 0.8021  1 Si 1.63
O 0.4919 0.8669 0.7056  1 Si 1.66
O 0.5147 0.1394 0.2714  1 Si 1.64
O 0.6474 0.2715 0.0494  1 Si 1.64
O 0.6492 0.6492 0.0545  1 Si 1.64
O 0.6540 0.6540 0.4437  1 Si 1.68
O 0.8669 0.4919 0.7056  1 Si 1.66
O 0.8666 0.8666 0.7032  1 Si 1.66
O 0.8864 0.8864 0.1400  6 Ca 2.33-2.38

Crystal system: monoclinic
Energy above the most stable polymorph in this dataset (eV per atom): 0.032
Spin magnetization (μB/cell): 0.09
Formation energy (no corrections) (eV per atom): -2.99

The highest energy above the most stable polymorph in this dataset belongs to which entry?
Ca2SiO4